1.
Density functional theory data (GGA-PBE) for an optimized crystal structure of La8SnRu2.

```
data_La8SnRu2
_space_group_name_H-M_alt 'C 1 2/m 1'
_space_group_IT_number 12
_cell_length_a 8.911
_cell_length_b 14.218
_cell_length_c 5.592
_cell_angle_alpha 90.00
_cell_angle_beta 103.07
_cell_angle_gamma 90.00
loop_
_space_group_symop_operation_xyz
'x,y,z'
'-x,-y,-z'
'-x,y,-z'
'x,-y,z'
'x+1/2,y+1/2,z'
'-x+1/2,-y+1/2,-z'
'-x+1/2,y+1/2,-z'
'x+1/2,-y+1/2,z'
loop_
_atom_site_label
_atom_site_fract_x
_atom_site_fract_y
_atom_site_fract_z
La1 0.000 0.250 0.000
La2 0.101 0.000 0.797
La3 0.202 0.375 0.551
Sn1 0.000 0.500 0.000
Ru1 0.000 0.210 0.500
```

## Properties
For the total energy, the calculation gives -0.43316 Ry/atom.

2.
Density functional theory data (GGA-PBE) for an optimized crystal structure of KSeF3.

```
data_KSeF3
_space_group_name_H-M_alt 'P m -3 m'
_space_group_IT_number 221
_space_group_name_Hall '-P 4 2 3'
_cell_length_a 4.497
_cell_length_b 4.497
_cell_length_c 4.497
_cell_angle_alpha 90.00
_cell_angle_beta 90.00
_cell_angle_gamma 90.00
loop_
_atom_site_label
_atom_site_fract_x
_atom_site_fract_y
_atom_site_fract_z
K1 0.000 0.000 0.000
Se1 0.500 0.500 0.500
F1 0.000 0.500 0.500
```

## Properties
The energy above the most stable polymorph in this dataset comes out at 1.673 eV per formula unit. As for the formation energy (no corrections): -1.6055 eV/atom.